Record 1
A relaxed structure of FeH3Rh. Source: the Alexandria database, functional PBE.

Unit cell a=2.7972 b=5.3410 c=5.3428 alpha=65.69 beta=89.98 gamma=89.95
Fractional coordinates of all 10 atoms:
Fe 0.3581 0.7152 0.7253
Fe 0.8646 0.1091 0.3314
H 0.8620 0.4014 0.8050
H 0.8629 0.0180 0.6973
H 0.8639 0.6355 0.0393
H 0.3642 0.0770 0.1103
H 0.8642 0.7433 0.4225
H 0.3643 0.3302 0.3638
Rh 0.3646 0.6936 0.2224
Rh 0.3636 0.2182 0.7470

Properties
Total moment = 2.9 μB/f.u.
N(E_F) = 0.429 states/eV/atom
E = -5.0952 eV/atom


Record 2
A relaxed structure of TbPuZn. Source: the Alexandria database, functional PBE.

Unit cell a=3.3096 b=3.3711 c=11.9686 alpha=90.00 beta=97.95 gamma=90.00
Fractional coordinates of all 6 atoms:
Zn 0.4602 0.2500 0.9205
Zn 0.5398 0.7500 0.0795
Tb 0.8785 0.7500 0.7569
Tb 0.1215 0.2500 0.2431
Pu 0.7644 0.2500 0.5287
Pu 0.2356 0.7500 0.4713

Properties
Total moment = 0.0 μB/f.u.
N(E_F) = 1.381 states/eV/atom
Offset from the most stable computed form = 223 meV/atom
E = -6.5778 eV/atom
Energy relative to the elements = 168 meV per atom